# 1
Computed, not measured: a geometry-optimized OsI2NO structure at the GGA-PBE level of DFT.

Results
Size of the total moment = 1.86 μB/f.u.
Space-group type = P4/mmm
DOS at the Fermi energy = 0.724 states/eV/atom
Energy relative to the elements, uncorrected = 2.026 eV/atom

The structure in POSCAR format:
```
OsI2NO
1.0
4.935 0.000 0.000
0.000 4.935 0.000
0.000 0.000 3.535
Os I N O
1 2 1 1
Cartesian
0.000 0.000 0.000
0.000 2.467 1.768
2.467 0.000 1.768
2.467 2.467 0.000
2.467 2.467 1.768
```



# 2
Computed, not measured: a geometry-optimized LaYOs2 structure at the GGA-PBE level of DFT.

Results
Size of the total moment = 0.00 μB/f.u.
Space-group type = F-43m
Calculated formation energy = 8.78 kcal/mol of atoms
DOS at the Fermi energy = 1.403 states/eV/atom

The structure in POSCAR format:
```
LaYOs2
1.0
6.837 0.000 0.000
0.000 6.837 0.000
0.000 0.000 6.837
La Y Os
4 4 8
Cartesian
0.000 0.000 0.000
0.000 3.419 3.419
3.419 0.000 3.419
3.419 3.419 0.000
1.709 1.709 5.128
1.709 5.128 1.709
5.128 1.709 1.709
5.128 5.128 5.128
0.000 0.000 3.419
0.000 3.419 0.000
1.709 1.709 1.709
1.709 5.128 5.128
3.419 0.000 0.000
3.419 3.419 3.419
5.128 1.709 5.128
5.128 5.128 1.709
```



# 3
Computed, not measured: a geometry-optimized Th8SbSe6 structure at the GGA-PBE level of DFT.

Results
Size of the total moment = 0.00 μB/f.u.
Space-group type = P-3
DOS at the Fermi energy = 1.004 states/eV/atom
Energy relative to the elements, uncorrected = -1.088 eV/atom

The structure in POSCAR format:
```
Th8SbSe6
1.0
10.848 0.000 0.000
-5.424 9.395 0.000
0.000 0.000 4.175
Th Sb Se
8 1 6
Cartesian
-1.276 2.967 1.068
-2.216 9.016 1.068
1.932 2.589 3.107
0.000 6.263 3.121
5.424 3.132 1.053
3.492 6.806 1.068
7.641 0.379 3.107
6.700 6.428 3.107
0.000 0.000 2.087
-2.096 5.972 1.035
1.300 4.593 1.035
4.628 1.171 3.140
0.796 8.224 1.035
4.124 4.802 3.140
7.520 3.422 3.140
```



# 4
Computed, not measured: a geometry-optimized AcTcP3 structure at the GGA-PBE level of DFT.

Results
Size of the total moment = 0.00 μB/f.u.
Space-group type = Pm-3m
Calculated formation energy = -8.30 kcal/mol of atoms
DOS at the Fermi energy = 0.963 states/eV/atom

The structure in POSCAR format:
```
AcTcP3
1.0
4.721 0.000 0.000
0.000 4.721 0.000
0.000 0.000 4.721
Ac Tc P
1 1 3
Cartesian
0.000 0.000 0.000
2.361 2.361 2.361
0.000 2.361 2.361
2.361 0.000 2.361
2.361 2.361 0.000
```



# 5
Computed, not measured: a geometry-optimized TbPm2Cu6 structure at the GGA-PBE level of DFT.

Results
Size of the total moment = 0.00 μB/f.u.
Space-group type = P6/mmm
Calculated formation energy = -5.46 kcal/mol of atoms
DOS at the Fermi energy = 0.419 states/eV/atom

The structure in POSCAR format:
```
TbPm2Cu6
1.0
7.379 0.000 0.000
-3.690 6.390 0.000
0.000 0.000 3.674
Tb Pm Cu
1 2 6
Cartesian
0.000 0.000 0.000
0.000 4.260 0.000
3.690 2.130 0.000
-1.224 2.119 1.837
-2.466 4.271 1.837
2.447 0.000 1.837
1.224 2.119 1.837
4.932 0.000 1.837
2.466 4.271 1.837
```



# 6
Computed, not measured: a geometry-optimized CaMgCuGe2 structure at the GGA-PBE level of DFT.

Results
Size of the total moment = 0.00 μB/f.u.
Space-group type = I-4m2
Calculated formation energy = -8.98 kcal/mol of atoms
DOS at the Fermi energy = 0.266 states/eV/atom

The structure in POSCAR format:
```
CaMgCuGe2
1.0
4.220 0.000 0.000
0.000 4.220 0.000
0.000 0.000 11.132
Ca Mg Cu Ge
2 2 2 4
Cartesian
0.000 0.000 0.000
2.110 2.110 5.566
0.000 2.110 2.783
2.110 0.000 8.349
0.000 2.110 8.349
2.110 0.000 2.783
0.000 0.000 4.325
0.000 0.000 6.806
2.110 2.110 1.240
2.110 2.110 9.891
```



# 7
Computed, not measured: a geometry-optimized Ag2SnBO4 structure at the GGA-PBE level of DFT.

Results
Size of the total moment = 0.00 μB/f.u.
Space-group type = I-4
DOS at the Fermi energy = 0.122 states/eV/atom
Energy relative to the elements, uncorrected = -1.085 eV/atom

The structure in POSCAR format:
```
Ag2SnBO4
1.0
5.091 0.000 0.000
0.000 5.091 0.000
0.000 0.000 8.108
Ag Sn B O
4 2 2 8
Cartesian
0.000 0.000 0.000
0.000 2.545 2.027
2.545 0.000 6.081
2.545 2.545 4.054
0.000 0.000 4.054
2.545 2.545 0.000
0.000 2.545 6.081
2.545 0.000 2.027
0.734 3.550 5.239
1.005 1.811 6.923
1.541 0.734 2.869
1.811 4.086 1.185
3.280 1.005 1.185
3.550 4.357 2.869
4.086 3.280 6.923
4.357 1.541 5.239
```



# 8
Computed, not measured: a geometry-optimized AgSbAu structure at the GGA-PBE level of DFT.

Results
Size of the total moment = 0.00 μB/f.u.
Space-group type = Imm2
DOS at the Fermi energy = 0.445 states/eV/atom
Energy relative to the elements, uncorrected = 0.069 eV/atom

The structure in POSCAR format:
```
AgSbAu
1.0
3.837 0.000 0.000
0.000 3.909 0.000
0.000 0.000 8.453
Ag Sb Au
2 2 2
Cartesian
0.000 0.000 0.000
1.918 1.955 4.226
0.000 0.000 5.625
1.918 1.955 1.399
0.000 0.000 2.816
1.918 1.955 7.042
```



# 9
Computed, not measured: a geometry-optimized TbPaTl2Se4 structure at the GGA-PBE level of DFT.

Results
Size of the total moment = 2.04 μB/f.u.
Space-group type = P2/m
DOS at the Fermi energy = 0.877 states/eV/atom
Energy relative to the elements, uncorrected = -1.154 eV/atom

The structure in POSCAR format:
```
TbPaTl2Se4
1.0
7.241 0.000 0.000
0.000 4.138 0.000
-2.337 0.000 7.932
Tb Pa Tl Se
1 1 2 4
Cartesian
0.000 0.000 0.000
3.621 2.069 0.000
-1.169 2.069 3.966
2.452 0.000 3.966
1.229 2.069 1.627
0.069 0.000 6.283
4.835 0.000 1.649
3.675 2.069 6.305
```



# 10
Computed, not measured: a geometry-optimized Na2LiAlSb2 structure at the GGA-PBE level of DFT.

Results
Size of the total moment = 0.00 μB/f.u.
Space-group type = Ibam
Energy relative to the elements, uncorrected = -0.462 eV/atom

The structure in POSCAR format:
```
Na2LiAlSb2
1.0
-3.135 7.470 3.300
3.135 -7.470 3.300
3.135 7.470 -3.300
Na Li Al Sb
4 2 2 4
Cartesian
1.478 2.600 0.000
1.478 -2.600 3.300
1.657 10.070 0.000
1.657 4.870 3.300
0.000 0.000 1.650
0.000 0.000 4.950
3.135 0.000 1.650
0.000 7.470 1.650
4.590 1.641 0.000
1.455 5.829 0.000
1.680 1.641 3.300
-1.455 5.829 3.300
```



Mass density in Mg/m³, matching the order above: 9.14 12.64 9.57 6.59 7.96 4.58 6.47 11.17 7.79 3.47